Y3Zn5Ni6 | PBE | optimized geometry

Calculated values
Space-group type: Immm
D(E_F): 9.42 states/eV/f.u.
ΔE_f: -5.504 eV per formula unit

Cell and atoms, written as POSCAR:
```
Y3Zn5Ni6
1.0
-3.176 1.910 -1.895
-6.333 -1.837 4.190
-2.056 5.843 4.762
Zn Ni Y
5 6 3
direct
0.319 0.337 0.026
0.000 0.500 0.500
0.681 0.663 0.974
0.319 0.026 0.337
0.681 0.974 0.663
0.500 0.289 0.711
0.112 0.615 0.162
0.112 0.162 0.615
0.888 0.385 0.838
0.888 0.838 0.385
0.500 0.711 0.289
0.680 0.320 0.320
0.320 0.680 0.680
0.000 0.000 0.000
```